No. 1
Entry from the Alexandria database: a relaxed structure of ZnCd2PPt (PBE-GGA).

E_form = 24.4 kJ/mol of atoms
Volume = 23.9 Å³ per atom
E_tot = -13.3 eV per cell
Size of the total moment = 0.00 Bohr magnetons per cell
Symmetry = P4/mmm (123)

Lattice parameters (Å, degrees): 5.1744 5.1744 4.4676 90.00 90.00 90.00
With the nearest neighbours (Å) after each atom.
Element x y z (fractional)
Zn 0.0000 0.0000 0.0000  8 Cd 3.42, 4 Pt 3.66
Cd 0.0000 0.5000 0.5000  2 P 2.59
Cd 0.5000 0.0000 0.5000  2 P 2.59
P 0.5000 0.5000 0.5000  2 Pt 2.23
Pt 0.5000 0.5000 0.0000  2 P 2.23

***

No. 2
Entry from the Alexandria database: a relaxed structure of Rb5CdP2 (PBE-GGA).

E_form = -18.2 kJ/mol of atoms
Volume = 52.4 Å³ per atom
E_tot = -18.1 eV per cell
Size of the total moment = 0.00 Bohr magnetons per cell
Symmetry = R-3m (166)

Lattice parameters (Å, degrees): 14.5133 14.5133 14.5133 23.28 23.28 23.28
With the nearest neighbours (Å) after each atom.
Element x y z (fractional)
Rb 0.0000 0.0000 0.0000  6 Rb 4.90
Rb 0.1308 0.1308 0.1308  3 P 3.51, 3 Cd 3.71
Rb 0.2497 0.2497 0.2497  3 P 3.55, 3 Rb 3.93
Rb 0.7503 0.7503 0.7503  3 P 3.55, 3 Rb 3.93
Rb 0.8692 0.8692 0.8692  3 P 3.51, 3 Cd 3.71
Cd 0.5000 0.5000 0.5000  2 P 2.44
P 0.4423 0.4423 0.4423  1 Cd 2.44
P 0.5577 0.5577 0.5577  1 Cd 2.44

***

No. 3
Entry from the Alexandria database: a relaxed structure of Rb2Cd2P (PBE-GGA).

E_form = 3.1 kJ/mol of atoms
Volume = 33.0 Å³ per atom
Energy above the most stable polymorph in this dataset = 0.00 eV per formula unit
E_tot = -18.0 eV per cell
Size of the total moment = 0.00 Bohr magnetons per cell
Symmetry = P4/mbm (127)

Lattice parameters (Å, degrees): 7.4908 7.4908 5.8744 90.00 90.00 90.00
With the nearest neighbours (Å) after each atom.
Element x y z (fractional)
Rb 0.1884 0.3116 0.0000  6 Cd 3.47-3.84, 4 Rb 3.86
Rb 0.3116 0.8116 0.0000  6 Cd 3.47-3.84, 4 Rb 3.86
Rb 0.6884 0.1884 0.0000  6 Cd 3.47-3.84, 4 Rb 3.86
Rb 0.8116 0.6884 0.0000  6 Cd 3.47-3.84, 4 Rb 3.86
Cd 0.1374 0.6374 0.5000  2 P 2.90, 1 Cd 2.91
Cd 0.3626 0.1374 0.5000  2 P 2.90, 1 Cd 2.91
Cd 0.6374 0.8626 0.5000  2 P 2.90, 1 Cd 2.91
Cd 0.8626 0.3626 0.5000  2 P 2.90, 1 Cd 2.91
P 0.0000 0.0000 0.5000  4 Cd 2.90
P 0.5000 0.5000 0.5000  4 Cd 2.90

***

No. 4
Entry from the Alexandria database: a relaxed structure of Rb2Cd2P (PBE-GGA).

E_form = 10.3 kJ/mol of atoms
Volume = 37.6 Å³ per atom
Energy above the most stable polymorph in this dataset = 0.38 eV per formula unit
E_tot = -17.3 eV per cell
Size of the total moment = 0.00 Bohr magnetons per cell
Symmetry = I4/mmm (139)

Lattice parameters (Å, degrees): 4.0884 4.0884 22.5158 90.00 90.00 90.00
With the nearest neighbours (Å) after each atom.
Element x y z (fractional)
Rb 0.0000 0.0000 0.0879  4 P 3.50
Rb 0.0000 0.0000 0.9121  4 P 3.50
Rb 0.5000 0.5000 0.4121  4 P 3.50
Rb 0.5000 0.5000 0.5879  4 P 3.50
Cd 0.0000 0.5000 0.2500  4 Cd 2.89
Cd 0.0000 0.5000 0.7500  4 Cd 2.89
Cd 0.5000 0.0000 0.2500  4 Cd 2.89
Cd 0.5000 0.0000 0.7500  4 Cd 2.89
P 0.0000 0.0000 0.5000  8 Rb 3.50
P 0.5000 0.5000 0.0000  8 Rb 3.50

***

No. 5
Entry from the Alexandria database: a relaxed structure of Rb2Cd2P (PBE-GGA).

E_form = 3.4 kJ/mol of atoms
Volume = 40.6 Å³ per atom
Energy above the most stable polymorph in this dataset = 0.02 eV per formula unit
E_tot = -18.0 eV per cell
Size of the total moment = 0.00 Bohr magnetons per cell
Symmetry = I4/mmm (139)

Lattice parameters (Å, degrees): 7.1376 7.1376 7.9722 90.00 90.00 90.00
With the nearest neighbours (Å) after each atom.
Element x y z (fractional)
Rb 0.0000 0.5000 0.2500  4 Cd 3.61, 2 Rb 3.99
Rb 0.0000 0.5000 0.7500  4 Cd 3.61, 2 Rb 3.99
Rb 0.5000 0.0000 0.2500  4 Cd 3.61, 2 Rb 3.99
Rb 0.5000 0.0000 0.7500  4 Cd 3.61, 2 Rb 3.99
Cd 0.0000 0.0000 0.1807  1 P 2.55
Cd 0.0000 0.0000 0.8193  1 P 2.55
Cd 0.5000 0.5000 0.3193  1 P 2.55
Cd 0.5000 0.5000 0.6807  1 P 2.55
P 0.0000 0.0000 0.5000  2 Cd 2.55
P 0.5000 0.5000 0.0000  2 Cd 2.55

***

No. 6
Entry from the Alexandria database: a relaxed structure of Rb3Cd2P2 (PBE-GGA).

E_form = -16.5 kJ/mol of atoms
Volume = 33.3 Å³ per atom
E_tot = -67.0 eV per cell
Size of the total moment = 0.00 Bohr magnetons per cell
Symmetry = Pbcm (57)

Lattice parameters (Å, degrees): 6.7490 9.6409 14.3136 90.00 90.00 90.00
With the nearest neighbours (Å) after each atom.
Element x y z (fractional)
Rb 0.1045 0.1599 0.1146  3 P 3.48-3.70, 4 Cd 3.66-3.87, 3 Rb 3.71-3.88
Rb 0.1045 0.1599 0.3854  3 P 3.48-3.70, 4 Cd 3.66-3.87, 3 Rb 3.71-3.88
Rb 0.1045 0.3401 0.6146  3 P 3.48-3.70, 4 Cd 3.66-3.87, 3 Rb 3.71-3.88
Rb 0.1045 0.3401 0.8854  3 P 3.48-3.70, 4 Cd 3.66-3.87, 3 Rb 3.71-3.88
Rb 0.3333 0.7057 0.7500  4 P 3.41-3.65, 4 Cd 3.59-3.76, 2 Rb 3.76
Rb 0.3333 0.7943 0.2500  4 P 3.41-3.65, 4 Cd 3.59-3.76, 2 Rb 3.76
Rb 0.6667 0.2057 0.7500  4 P 3.41-3.65, 4 Cd 3.59-3.76, 2 Rb 3.76
Rb 0.6667 0.2943 0.2500  4 P 3.41-3.65, 4 Cd 3.59-3.76, 2 Rb 3.76
Rb 0.8955 0.6599 0.1146  3 P 3.48-3.70, 4 Cd 3.66-3.87, 3 Rb 3.71-3.88
Rb 0.8955 0.6599 0.3854  3 P 3.48-3.70, 4 Cd 3.66-3.87, 3 Rb 3.71-3.88
Rb 0.8955 0.8401 0.6146  3 P 3.48-3.70, 4 Cd 3.66-3.87, 3 Rb 3.71-3.88
Rb 0.8955 0.8401 0.8854  3 P 3.48-3.70, 4 Cd 3.66-3.87, 3 Rb 3.71-3.88
Cd 0.3783 0.0089 0.5861  3 P 2.65-2.96
Cd 0.3783 0.0089 0.9139  3 P 2.65-2.96
Cd 0.3783 0.4911 0.0861  3 P 2.65-2.96
Cd 0.3783 0.4911 0.4139  3 P 2.65-2.96
Cd 0.6217 0.5089 0.5861  3 P 2.65-2.96
Cd 0.6217 0.5089 0.9139  3 P 2.65-2.96
Cd 0.6217 0.9911 0.0861  3 P 2.65-2.96
Cd 0.6217 0.9911 0.4139  3 P 2.65-2.96
P 0.2047 0.0478 0.7500  2 Cd 2.65
P 0.2047 0.4522 0.2500  2 Cd 2.65
P 0.4209 0.7500 0.0000  4 Cd 2.80-2.96
P 0.4209 0.7500 0.5000  4 Cd 2.80-2.96
P 0.5791 0.2500 0.0000  4 Cd 2.80-2.96
P 0.5791 0.2500 0.5000  4 Cd 2.80-2.96
P 0.7953 0.5478 0.7500  2 Cd 2.65
P 0.7953 0.9522 0.2500  2 Cd 2.65

***

No. 7
Entry from the Alexandria database: a relaxed structure of Rb5Cd4P4 (PBE-GGA).

E_form = -23.1 kJ/mol of atoms
Volume = 31.2 Å³ per atom
E_tot = -33.3 eV per cell
Size of the total moment = 0.00 Bohr magnetons per cell
Symmetry = I4/m (87)

Lattice parameters (Å, degrees): 9.7729 9.7729 9.7729 93.01 93.01 153.53
With the nearest neighbours (Å) after each atom.
Element x y z (fractional)
Rb 0.0000 0.0000 0.0000  4 P 3.96, 8 Rb 3.98
Rb 0.2965 0.3648 0.6613  5 P 3.48-3.76, 4 Cd 3.68-3.85
Rb 0.3648 0.7035 0.0683  5 P 3.48-3.76, 4 Cd 3.68-3.85
Rb 0.6352 0.2965 0.9317  5 P 3.48-3.76, 4 Cd 3.68-3.85
Rb 0.7035 0.6352 0.3387  5 P 3.48-3.76, 4 Cd 3.68-3.85
Cd 0.1093 0.5807 0.6900  3 P 2.66-2.67
Cd 0.4193 0.1093 0.5285  3 P 2.66-2.67
Cd 0.5807 0.8907 0.4715  3 P 2.66-2.67
Cd 0.8907 0.4193 0.3100  3 P 2.66-2.67
P 0.0424 0.2915 0.3339  3 Cd 2.66-2.67
P 0.2915 0.9576 0.2490  3 Cd 2.66-2.67
P 0.7085 0.0424 0.7510  3 Cd 2.66-2.67
P 0.9576 0.7085 0.6661  3 Cd 2.66-2.67

***

No. 8
Entry from the Alexandria database: a relaxed structure of Rb2CdP2 (PBE-GGA).

E_form = -12.1 kJ/mol of atoms
Volume = 34.8 Å³ per atom
E_tot = -28.6 eV per cell
Size of the total moment = 0.00 Bohr magnetons per cell
Symmetry = P4/mbm (127)

Lattice parameters (Å, degrees): 8.6389 8.6389 4.6579 90.00 90.00 90.00
With the nearest neighbours (Å) after each atom.
Element x y z (fractional)
Rb 0.1993 0.3007 0.0000  6 P 3.52, 4 Cd 3.89
Rb 0.3007 0.8007 0.0000  6 P 3.52, 4 Cd 3.89
Rb 0.6993 0.1993 0.0000  6 P 3.52, 4 Cd 3.89
Rb 0.8007 0.6993 0.0000  6 P 3.52, 4 Cd 3.89
Cd 0.0000 0.0000 0.5000  4 P 3.66, 8 Rb 3.89
Cd 0.5000 0.5000 0.5000  4 P 3.66, 8 Rb 3.89
P 0.0843 0.5843 0.5000  1 P 2.06
P 0.4157 0.0843 0.5000  1 P 2.06
P 0.5843 0.9157 0.5000  1 P 2.06
P 0.9157 0.4157 0.5000  1 P 2.06

***

No. 9
Entry from the Alexandria database: a relaxed structure of Rb3CdP2 (PBE-GGA).

E_form = -16.5 kJ/mol of atoms
Volume = 35.7 Å³ per atom
E_tot = -31.3 eV per cell
Size of the total moment = 1.90 Bohr magnetons per cell
Symmetry = Ibam (72)

Lattice parameters (Å, degrees): 9.2590 9.2590 9.2590 127.67 70.81 135.85
With the nearest neighbours (Å) after each atom.
Element x y z (fractional)
Rb 0.1824 0.6929 0.8753  4 P 3.37-3.73, 2 Cd 3.62
Rb 0.2500 0.2500 0.0000  4 P 3.41, 2 Rb 3.48
Rb 0.3176 0.1929 0.5104  4 P 3.37-3.73, 2 Cd 3.62
Rb 0.6824 0.8071 0.4896  4 P 3.37-3.73, 2 Cd 3.62
Rb 0.7500 0.7500 0.0000  4 P 3.41, 2 Rb 3.48
Rb 0.8176 0.3071 0.1247  4 P 3.37-3.73, 2 Cd 3.62
Cd 0.2500 0.7500 0.5000  4 P 2.71
Cd 0.7500 0.2500 0.5000  4 P 2.71
P 0.0941 0.3139 0.4080  2 Cd 2.71
P 0.4059 0.8139 0.2198  2 Cd 2.71
P 0.5941 0.1861 0.7802  2 Cd 2.71
P 0.9059 0.6861 0.5920  2 Cd 2.71

***

No. 10
Entry from the Alexandria database: a relaxed structure of RbCdPRu (PBE-GGA).

E_form = -39.2 kJ/mol of atoms
Volume = 27.8 Å³ per atom
E_tot = -36.4 eV per cell
Size of the total moment = 0.00 Bohr magnetons per cell
Symmetry = P4/nmm (129)

Lattice parameters (Å, degrees): 4.0907 4.0907 13.3034 90.00 90.00 90.00
With the nearest neighbours (Å) after each atom.
Element x y z (fractional)
Rb 0.2500 0.2500 0.2370  4 P 3.54, 4 Ru 3.76
Rb 0.7500 0.7500 0.7630  4 P 3.54, 4 Ru 3.76
Cd 0.2500 0.7500 0.5000  4 Cd 2.89
Cd 0.7500 0.2500 0.5000  4 Cd 2.89
P 0.2500 0.2500 0.9162  4 Ru 2.33
P 0.7500 0.7500 0.0838  4 Ru 2.33
Ru 0.2500 0.7500 0.0000  4 P 2.33
Ru 0.7500 0.2500 0.0000  4 P 2.33

***

No. 11
Entry from the Alexandria database: a relaxed structure of RbCdPS2 (PBE-GGA).

Formation energy from raw total energies = 0.248 eV per atom
Volume = 28.0 Å³ per atom
Energy above the most stable polymorph in this dataset = 0.00 eV per formula unit
E_tot = -14.3 eV per cell
Size of the total moment = 1.41 Bohr magnetons per cell
Symmetry = P4/mmm (123)

Lattice parameters (Å, degrees): 5.2434 5.2434 5.0892 90.00 90.00 90.00
With the nearest neighbours (Å) after each atom.
Element x y z (fractional)
Rb 0.0000 0.0000 0.0000  8 S 3.65, 4 P 3.71
Cd 0.5000 0.5000 0.5000  2 P 2.54, 4 S 2.62
P 0.5000 0.5000 0.0000  2 Cd 2.54
S 0.0000 0.5000 0.5000  2 Cd 2.62
S 0.5000 0.0000 0.5000  2 Cd 2.62

***

No. 12
Entry from the Alexandria database: a relaxed structure of Rb2CdPS4 (PBE-GGA).

Formation energy from raw total energies = -0.609 eV per atom
Volume = 31.6 Å³ per atom
E_tot = -59.3 eV per cell
Size of the total moment = 0.01 Bohr magnetons per cell
Symmetry = Fddd (70)

Lattice parameters (Å, degrees): 13.7245 12.2579 7.5607 84.10 62.67 33.23
With the nearest neighbours (Å) after each atom.
Element x y z (fractional)
Rb 0.0545 0.0545 0.6955  6 S 3.57-3.77
Rb 0.3045 0.3045 0.9455  6 S 3.57-3.77
Rb 0.6955 0.6955 0.0545  6 S 3.57-3.77
Rb 0.9455 0.9455 0.3045  6 S 3.57-3.77
Cd 0.1250 0.1250 0.1250  4 S 2.55
Cd 0.8750 0.8750 0.8750  4 S 2.55
P 0.3750 0.3750 0.3750  4 S 2.20
P 0.6250 0.6250 0.6250  4 S 2.20
S 0.0213 0.6257 0.5380  1 P 2.20
S 0.3150 0.5380 0.6257  1 P 2.20
S 0.3743 0.9787 0.6850  1 P 2.20
S 0.4620 0.6850 0.9787  1 P 2.20
S 0.5380 0.3150 0.0213  1 P 2.20
S 0.6257 0.0213 0.3150  1 P 2.20
S 0.6850 0.4620 0.3743  1 P 2.20
S 0.9787 0.3743 0.4620  1 P 2.20